Pr2MgN2Cl2: relaxed, PBE.

Unit cell a=4.137 b=4.137 c=15.145 alpha=90.00 beta=90.00 gamma=90.00
Fractional positions:
Pr (0.000, 0.000, 0.101)
Pr (0.000, 0.000, 0.899)
Pr (0.500, 0.500, 0.399)
Pr (0.500, 0.500, 0.601)
Mg (0.000, 0.000, 0.500)
Mg (0.500, 0.500, 0.000)
N (0.000, 0.500, 0.000)
N (0.000, 0.500, 0.500)
N (0.500, 0.000, 0.000)
N (0.500, 0.000, 0.500)
Cl (0.000, 0.000, 0.312)
Cl (0.000, 0.000, 0.688)
Cl (0.500, 0.500, 0.188)
Cl (0.500, 0.500, 0.812)

formation energy from raw total energies: -1.512 eV/atom
ρ: 5.19 g/cm3
calculated volume: 259.23 Å³ per cell
calculated total energy: -6.01 eV per atom